Entry 1:
DFT (PBE) results for an optimized crystal structure of CoAgPS2.

ΔE_f (raw), eV/f.u.: 2.4

abc: 4.675 4.675 4.111
angles: 90.00 90.00 90.00
Space group P4/mmm (No. 123)
Unique sites:
1 Co 0.000 0.000 0.000
2 Ag 0.500 0.500 0.500
3 P 0.000 0.000 0.500
4 S 0.000 0.500 0.000


Entry 2:
DFT (PBE) results for an optimized crystal structure of Tl2PdBr2Cl2.

ΔE_f (raw), eV/f.u.: -4.3

abc: 15.561 4.138 7.289
angles: 90.00 117.17 90.00
Space group C2/m (No. 12)
Unique sites:
1 Tl 0.157 0.000 0.183
2 Pd 0.000 0.000 0.500
3 Br 0.012 0.500 0.753
4 Cl 0.180 0.000 0.644


Entry 3:
DFT (PBE) results for an optimized crystal structure of Ho12TmTh7.

Energy relative to the elements, eV per atom: 0.273

abc: 11.9092 11.9092 15.8905
angles: 90.00 90.00 120.00
Space group R-3 (No. 148, hexagonal axes)
Unique sites:
1 Ho 0.0250 0.5798 0.2204
2 Ho 0.0505 0.4634 0.5839
3 Tm 0.0000 0.0000 0.5000
4 Th 0.0000 0.0000 0.0000
5 Th 0.0562 0.8720 0.2904


Entry 4:
DFT (PBE) results for an optimized crystal structure of CsZrIn2Te.

ΔE_f (raw), eV/f.u.: 2.2

abc: 6.448 6.448 5.489
angles: 90.00 90.00 90.00
Space group P4/mmm (No. 123)
Unique sites:
1 Cs 0.000 0.000 0.000
2 Zr 0.500 0.500 0.000
3 In 0.000 0.500 0.500
4 Te 0.500 0.500 0.500


Entry 5:
DFT (PBE) results for an optimized crystal structure of BPSe2.

ΔE_f (raw), eV/f.u.: 3.0

abc: 4.4243 4.4243 18.3543
angles: 90.00 90.00 120.00
Space group R-3m (No. 166, hexagonal axes)
Unique sites:
1 B 0.0000 0.0000 0.0000
2 P 0.0000 0.0000 0.5000
3 Se 0.0000 0.0000 0.0998


Entry 6:
DFT (PBE) results for an optimized crystal structure of PH4S.

Final energy, eV/atom: -3.722

abc: 4.349 4.638 4.656
angles: 98.55 102.06 102.24
Space group P1 (No. 1)
Unique sites:
1 P 0.000 0.000 0.000
2 H 0.090 0.715 0.715
3 H 0.106 0.575 0.575
4 H 0.778 0.108 0.799
5 H 0.779 0.797 0.108
6 S 0.281 0.335 0.334


Entry 7:
DFT (PBE) results for an optimized crystal structure of DyMg4Zr2.

Energy relative to the elements, eV per atom: 0.077

abc: 3.155 3.211 16.697
angles: 90.00 95.39 90.00
Space group P2/m (No. 10)
Unique sites:
1 Dy 0.000 0.000 0.000
2 Mg 0.144 0.000 0.286
3 Mg 0.423 0.500 0.850
4 Zr 0.288 0.500 0.578


no.,theoretical density (g/cm3),magnetic moment (μB per cell)
1,4.8,0.0
2,5.9,3.7
3,9.6,0.0
4,4.2,2.3
5,3.2,1.8
6,1.3,0.0
7,4.4,0.0